## Ca2CrGeO6 (PBE with a Hubbard U)

Data for crystalline Ca2CrGeO6 at its relaxed geometry.

As for the total energy: -6.797 eV per atom. The magnetic moment is 1.99 Bohr magnetons per cell.

The space group is P-1 (No. 2) and the conventional cell measures 5.333, 5.341 and 5.365 Å, with angles of 60.24, 60.40 and 60.73 degrees. The asymmetric unit holds Ca at (0.242, 0.258, 0.251), Cr at (0.500, 0.500, 0.500), Ge at (0.000, 0.000, 0.000), O at (0.190, 0.727, 0.306), O at (0.223, 0.694, 0.811) and O at (0.326, 0.170, 0.750).